BeCuS2: relaxed, PBE-GGA.

Cell and atoms, written as CIF:
```
data_BeCuS2
_chemical_formula_sum 'Be3 Cu3 S6'
_symmetry_space_group_name_H-M 'R -3 m'
_symmetry_Int_Tables_number 166
_symmetry_space_group_name_Hall '-R 3 2"'
_cell_length_a 3.2067
_cell_length_b 3.2067
_cell_length_c 20.3240
_cell_angle_alpha 90.00
_cell_angle_beta 90.00
_cell_angle_gamma 120.00
loop_
_atom_site_label
_atom_site_type_symbol
_atom_site_fract_x
_atom_site_fract_y
_atom_site_fract_z
Be1 Be 0.0000 0.0000 0.0000
Cu1 Cu 0.0000 0.0000 0.5000
S1 S 0.0000 0.0000 0.3952
```

Values from the calculation:
Uncorrected formation energy, eV per atom: -0.206